NbAlCoCu: optimized geometry, GGA-PBE.

Calculated values
The value obtained for the raw total energy is -26.1 eV/cell. As for the space group: F-43m (216). The total magnetic moment is 0.000 μB per atom. Its formation enthalpy at 0 K is -284 meV/atom. The crystal system is cubic.

Lattice parameters (Å, degrees): 4.2607 4.2607 4.2607 60.00 60.00 60.00
Closest atoms and distances in Å follow each position.
Sites, in units of the cell vectors:
Nb1 0.0000 0.0000 0.0000  4 Co 2.61, 4 Cu 2.61
Al1 0.5000 0.5000 0.5000  4 Co 2.61, 4 Cu 2.61
Co1 0.2500 0.2500 0.2500  4 Nb 2.61, 4 Al 2.61
Cu1 0.7500 0.7500 0.7500  4 Al 2.61, 4 Nb 2.61